The following is a DFT calculation (PBE) of crystalline BaScRu2 at its relaxed geometry.

Summary:
Space group: P4/mmm (123)
Spin magnetization in μB/f.u.: 1.4
Volume in Å³ per cell: 87.4
Calculated formation energy in meV/atom: 254

Lattice parameters (Å, degrees): 3.4382 3.4382 7.3929 90.00 90.00 90.00
With the nearest neighbours (Å) after each atom.
Element x y z (fractional)
Ba 0.0000 0.0000 0.0000  8 Ru 3.39, 4 Ba 3.44, 2 Sc 3.70
Sc 0.0000 0.0000 0.5000  8 Ru 2.78
Ru 0.5000 0.5000 0.3189  1 Ru 2.68, 4 Sc 2.78
Ru 0.5000 0.5000 0.6811  1 Ru 2.68, 4 Sc 2.78

=====

The following is a DFT calculation (PBE) of crystalline Ba2ScRu at its relaxed geometry.

Summary:
Space group: I4/mmm (139)
Spin magnetization in μB/f.u.: 0.0
Volume in Å³ per cell: 230.2
Calculated formation energy in meV/atom: 681
Relative energy among the computed polymorphs in eV/atom: 0.591

Lattice parameters (Å, degrees): 4.6304 4.6304 10.7364 90.00 90.00 90.00
With the nearest neighbours (Å) after each atom.
Element x y z (fractional)
Ba 0.0000 0.5000 0.2500  4 Ba 3.27, 4 Ru 3.54, 4 Sc 3.54
Ba 0.0000 0.5000 0.7500  4 Ba 3.27, 4 Ru 3.54, 4 Sc 3.54
Ba 0.5000 0.0000 0.2500  4 Ba 3.27, 4 Ru 3.54, 4 Sc 3.54
Ba 0.5000 0.0000 0.7500  4 Ba 3.27, 4 Ru 3.54, 4 Sc 3.54
Sc 0.0000 0.0000 0.0000  4 Ru 3.27, 8 Ba 3.54
Sc 0.5000 0.5000 0.5000  4 Ru 3.27, 8 Ba 3.54
Ru 0.0000 0.0000 0.5000  4 Sc 3.27, 8 Ba 3.54
Ru 0.5000 0.5000 0.0000  4 Sc 3.27, 8 Ba 3.54

=====

The following is a DFT calculation (PBE) of crystalline BaScRu2 at its relaxed geometry.

Summary:
Space group: P4mm (99)
Spin magnetization in μB/f.u.: 0.0
Volume in Å³ per cell: 95.0
Calculated formation energy in meV/atom: 302

Lattice parameters (Å, degrees): 3.3815 3.3815 8.3038 90.00 90.00 90.00
With the nearest neighbours (Å) after each atom.
Element x y z (fractional)
Ba 0.0000 0.0000 0.0000  4 Ba 3.38, 5 Ru 3.44-3.55
Sc 0.5000 0.5000 0.6050  5 Ru 2.54-2.81
Ru 0.0000 0.0000 0.4278  4 Ru 2.62, 4 Sc 2.81
Ru 0.5000 0.5000 0.2986  1 Sc 2.54, 4 Ru 2.62

=====

The following is a DFT calculation (PBE) of crystalline BaScRu2 at its relaxed geometry.

Summary:
Space group: P2/m (10)
Spin magnetization in μB/f.u.: 0.0
Volume in Å³ per cell: 90.6
Calculated formation energy in meV/atom: 282

Lattice parameters (Å, degrees): 3.1266 4.2573 6.8473 90.00 96.13 90.00
With the nearest neighbours (Å) after each atom.
Element x y z (fractional)
Ba 0.0000 0.0000 0.0000  2 Ba 3.13, 4 Ru 3.28
Sc 0.5000 0.0000 0.5000  4 Ru 2.58
Ru 0.2390 0.5000 0.6630  1 Ru 2.55, 2 Sc 2.58
Ru 0.7610 0.5000 0.3370  1 Ru 2.55, 2 Sc 2.58

=====

The following is a DFT calculation (PBE) of crystalline Ba2ScRu at its relaxed geometry.

Summary:
Space group: Pm (6)
Spin magnetization in μB/f.u.: 0.0
Volume in Å³ per cell: 140.1
Calculated formation energy in meV/atom: 97
Relative energy among the computed polymorphs in eV/atom: 0.007

Lattice parameters (Å, degrees): 4.0431 3.6421 9.7252 90.00 101.94 90.00
With the nearest neighbours (Å) after each atom.
Element x y z (fractional)
Ba 0.0000 0.0000 0.0000  1 Ru 3.00
Ba 0.2979 0.5000 0.6000  2 Ru 3.27, 2 Ba 3.64, 2 Sc 3.64-3.65
Sc 0.6396 0.5000 0.2812  4 Ru 2.74
Ru 0.1564 0.0000 0.3150  4 Sc 2.74, 1 Ba 3.00

=====

The following is a DFT calculation (PBE) of crystalline Ba2ScRu at its relaxed geometry.

Summary:
Space group: Immm (71)
Spin magnetization in μB/f.u.: 0.0
Volume in Å³ per cell: 280.7
Calculated formation energy in meV/atom: 160
Relative energy among the computed polymorphs in eV/atom: 0.070

Lattice parameters (Å, degrees): 3.4810 4.3141 18.6928 90.00 90.00 90.00
With the nearest neighbours (Å) after each atom.
Element x y z (fractional)
Ba 0.0000 0.0000 0.1480  2 Ru 3.27, 2 Ba 3.48, 2 Sc 3.51
Ba 0.0000 0.0000 0.8520  2 Ru 3.27, 2 Ba 3.48, 2 Sc 3.51
Ba 0.5000 0.5000 0.3520  2 Ru 3.27, 2 Ba 3.48, 2 Sc 3.51
Ba 0.5000 0.5000 0.6480  2 Ru 3.27, 2 Ba 3.48, 2 Sc 3.51
Sc 0.0000 0.5000 0.0000  4 Ru 2.77
Sc 0.5000 0.0000 0.5000  4 Ru 2.77
Ru 0.0000 0.5000 0.5000  4 Sc 2.77
Ru 0.5000 0.0000 0.0000  4 Sc 2.77

=====

The following is a DFT calculation (PBE) of crystalline Ba2ScRu at its relaxed geometry.

Summary:
Space group: P2/m (10)
Spin magnetization in μB/f.u.: 0.0
Volume in Å³ per cell: 123.1
Calculated formation energy in meV/atom: 687
Relative energy among the computed polymorphs in eV/atom: 0.597

Lattice parameters (Å, degrees): 3.9870 4.9364 6.3967 90.00 102.01 90.00
With the nearest neighbours (Å) after each atom.
Element x y z (fractional)
Ba 0.1130 0.0000 0.2719  2 Ru 3.11, 2 Ba 3.23-3.41
Ba 0.8870 0.0000 0.7281  2 Ru 3.11, 2 Ba 3.23-3.41
Sc 0.5000 0.5000 0.0000  2 Ru 3.20, 4 Ba 3.55
Ru 0.5000 0.5000 0.5000  4 Ba 3.11, 2 Sc 3.20

=====

The following is a DFT calculation (PBE) of crystalline Ba2ScRu at its relaxed geometry.

Summary:
Space group: Cm (8)
Spin magnetization in μB/f.u.: 0.0
Volume in Å³ per cell: 315.1
Calculated formation energy in meV/atom: 90
Relative energy among the computed polymorphs in eV/atom: 0.000

Lattice parameters (Å, degrees): 7.7494 4.4759 9.4398 90.00 105.78 90.00
With the nearest neighbours (Å) after each atom.
Element x y z (fractional)
Ba 0.0000 0.0000 0.0000  3 Sc 3.56-3.57, 3 Ru 3.59
Ba 0.1791 0.0000 0.5403  3 Ru 3.54, 3 Sc 3.56
Ba 0.5000 0.5000 0.0000  3 Sc 3.56-3.57, 3 Ru 3.59
Ba 0.6791 0.5000 0.5403  3 Ru 3.54, 3 Sc 3.56
Sc 0.4232 0.0000 0.2703  3 Ru 2.58
Sc 0.9232 0.5000 0.2703  3 Ru 2.58
Ru 0.2579 0.5000 0.2741  3 Sc 2.58
Ru 0.7579 0.0000 0.2741  3 Sc 2.58

=====

The following is a DFT calculation (PBE) of crystalline BaScRu2 at its relaxed geometry.

Summary:
Space group: C2/m (12)
Spin magnetization in μB/f.u.: 0.0
Volume in Å³ per cell: 163.0
Calculated formation energy in meV/atom: 638

Lattice parameters (Å, degrees): 6.3837 8.7329 3.1632 90.00 112.46 90.00
With the nearest neighbours (Å) after each atom.
Element x y z (fractional)
Ba 0.0000 0.0000 0.0000  4 Ru 2.81
Ba 0.5000 0.5000 0.0000  4 Ru 2.81
Sc 0.0000 0.5000 0.0000  4 Ru 2.81
Sc 0.5000 0.0000 0.0000  4 Ru 2.81
Ru 0.2500 0.2500 0.5000  2 Ba 2.81, 2 Sc 2.81
Ru 0.2500 0.7500 0.5000  2 Ba 2.81, 2 Sc 2.81
Ru 0.7500 0.2500 0.5000  2 Ba 2.81, 2 Sc 2.81
Ru 0.7500 0.7500 0.5000  2 Ba 2.81, 2 Sc 2.81

=====

The following is a DFT calculation (PBE) of crystalline BaScRu2 at its relaxed geometry.

Summary:
Space group: Imm2 (44)
Spin magnetization in μB/f.u.: 0.0
Volume in Å³ per cell: 223.0
Calculated formation energy in meV/atom: 254

Lattice parameters (Å, degrees): 4.1621 4.4810 11.9555 90.00 90.00 90.00
With the nearest neighbours (Å) after each atom.
Element x y z (fractional)
Ba 0.0000 0.0000 0.0000  8 Ru 3.52-3.81, 4 Sc 3.67-3.71
Ba 0.5000 0.5000 0.5000  8 Ru 3.52-3.81, 4 Sc 3.67-3.71
Sc 0.0000 0.5000 0.2433  2 Ru 2.61
Sc 0.5000 0.0000 0.7433  2 Ru 2.61
Ru 0.0000 0.0000 0.3550  2 Ru 2.33, 2 Sc 2.61
Ru 0.0000 0.5000 0.7665  2 Ru 2.33
Ru 0.5000 0.0000 0.2665  2 Ru 2.33
Ru 0.5000 0.5000 0.8550  2 Ru 2.33, 2 Sc 2.61

=====

The following is a DFT calculation (PBE) of crystalline BaScRu at its relaxed geometry.

Summary:
Space group: F-43m (216)
Spin magnetization in μB/f.u.: 0.0
Volume in Å³ per cell: 309.4
Calculated formation energy in meV/atom: 1265
Relative energy among the computed polymorphs in eV/atom: 1.181

Lattice parameters (Å, degrees): 6.7637 6.7637 6.7637 90.00 90.00 90.00
With the nearest neighbours (Å) after each atom.
Element x y z (fractional)
Ba 0.0000 0.0000 0.0000  4 Ru 2.93, 4 Sc 2.93
Ba 0.0000 0.5000 0.5000  4 Ru 2.93, 4 Sc 2.93
Ba 0.5000 0.0000 0.5000  4 Ru 2.93, 4 Sc 2.93
Ba 0.5000 0.5000 0.0000  4 Ru 2.93, 4 Sc 2.93
Sc 0.2500 0.2500 0.7500  4 Ba 2.93
Sc 0.2500 0.7500 0.2500  4 Ba 2.93
Sc 0.7500 0.2500 0.2500  4 Ba 2.93
Sc 0.7500 0.7500 0.7500  4 Ba 2.93
Ru 0.2500 0.2500 0.2500  4 Ba 2.93
Ru 0.2500 0.7500 0.7500  4 Ba 2.93
Ru 0.7500 0.2500 0.7500  4 Ba 2.93
Ru 0.7500 0.7500 0.2500  4 Ba 2.93

=====

The following is a DFT calculation (PBE) of crystalline Ba2ScRu at its relaxed geometry.

Summary:
Space group: Cmmm (65)
Spin magnetization in μB/f.u.: 0.0
Volume in Å³ per cell: 243.7
Calculated formation energy in meV/atom: 760
Relative energy among the computed polymorphs in eV/atom: 0.670

Lattice parameters (Å, degrees): 6.5135 9.5897 3.9012 90.00 90.00 90.00
With the nearest neighbours (Å) after each atom.
Element x y z (fractional)
Ba 0.2500 0.2500 0.0000  2 Ba 3.26, 4 Ru 3.49, 4 Sc 3.49
Ba 0.2500 0.7500 0.0000  2 Ba 3.26, 4 Ru 3.49, 4 Sc 3.49
Ba 0.7500 0.2500 0.0000  2 Ba 3.26, 4 Ru 3.49, 4 Sc 3.49
Ba 0.7500 0.7500 0.0000  2 Ba 3.26, 4 Sc 3.49, 4 Ru 3.49
Sc 0.0000 0.0000 0.5000  2 Ru 3.26, 8 Ba 3.49
Sc 0.5000 0.5000 0.5000  2 Ru 3.26, 8 Ba 3.49
Ru 0.0000 0.5000 0.5000  2 Sc 3.26, 8 Ba 3.49
Ru 0.5000 0.0000 0.5000  2 Sc 3.26, 8 Ba 3.49

=====

The following is a DFT calculation (PBE) of crystalline Ba2ScRu at its relaxed geometry.

Summary:
Space group: Fm-3m (225)
Spin magnetization in μB/f.u.: 0.0
Volume in Å³ per cell: 479.1
Calculated formation energy in meV/atom: 736
Relative energy among the computed polymorphs in eV/atom: 0.646

Lattice parameters (Å, degrees): 7.8249 7.8249 7.8249 90.00 90.00 90.00
With the nearest neighbours (Å) after each atom.
Element x y z (fractional)
Ba 0.2500 0.2500 0.2500  4 Ru 3.39, 4 Sc 3.39
Ba 0.2500 0.2500 0.7500  4 Ru 3.39, 4 Sc 3.39
Ba 0.2500 0.7500 0.2500  4 Ru 3.39, 4 Sc 3.39
Ba 0.2500 0.7500 0.7500  4 Ru 3.39, 4 Sc 3.39
Ba 0.7500 0.2500 0.2500  4 Ru 3.39, 4 Sc 3.39
Ba 0.7500 0.2500 0.7500  4 Ru 3.39, 4 Sc 3.39
Ba 0.7500 0.7500 0.2500  4 Ru 3.39, 4 Sc 3.39
Ba 0.7500 0.7500 0.7500  4 Ru 3.39, 4 Sc 3.39
Sc 0.0000 0.0000 0.0000  8 Ba 3.39
Sc 0.0000 0.5000 0.5000  8 Ba 3.39
Sc 0.5000 0.0000 0.5000  8 Ba 3.39
Sc 0.5000 0.5000 0.0000  8 Ba 3.39
Ru 0.0000 0.0000 0.5000  8 Ba 3.39
Ru 0.0000 0.5000 0.0000  8 Ba 3.39
Ru 0.5000 0.0000 0.0000  8 Ba 3.39
Ru 0.5000 0.5000 0.5000  8 Ba 3.39

=====

The following is a DFT calculation (PBE) of crystalline BaScRu2 at its relaxed geometry.

Summary:
Space group: P4/mmm (123)
Spin magnetization in μB/f.u.: 0.0
Volume in Å³ per cell: 81.9
Calculated formation energy in meV/atom: 516

Lattice parameters (Å, degrees): 4.8917 4.8917 3.4215 90.00 90.00 90.00
With the nearest neighbours (Å) after each atom.
Element x y z (fractional)
Ba 0.0000 0.0000 0.0000  8 Ru 2.98
Sc 0.5000 0.5000 0.0000  8 Ru 2.98
Ru 0.0000 0.5000 0.5000  4 Sc 2.98, 4 Ba 2.98
Ru 0.5000 0.0000 0.5000  4 Sc 2.98, 4 Ba 2.98

=====

The following is a DFT calculation (PBE) of crystalline BaScRu at its relaxed geometry.

Summary:
Space group: F-43m (216)
Spin magnetization in μB/f.u.: 0.0
Volume in Å³ per cell: 331.3
Calculated formation energy in meV/atom: 371
Relative energy among the computed polymorphs in eV/atom: 0.287

Lattice parameters (Å, degrees): 6.9197 6.9197 6.9197 90.00 90.00 90.00
With the nearest neighbours (Å) after each atom.
Element x y z (fractional)
Ba 0.0000 0.0000 0.0000  4 Ru 3.00
Ba 0.0000 0.5000 0.5000  4 Ru 3.00
Ba 0.5000 0.0000 0.5000  4 Ru 3.00
Ba 0.5000 0.5000 0.0000  4 Ru 3.00
Sc 0.0000 0.0000 0.5000  4 Ru 3.00
Sc 0.0000 0.5000 0.0000  4 Ru 3.00
Sc 0.5000 0.0000 0.0000  4 Ru 3.00
Sc 0.5000 0.5000 0.5000  4 Ru 3.00
Ru 0.2500 0.2500 0.2500  4 Ba 3.00, 4 Sc 3.00
Ru 0.2500 0.7500 0.7500  4 Ba 3.00, 4 Sc 3.00
Ru 0.7500 0.2500 0.7500  4 Ba 3.00, 4 Sc 3.00
Ru 0.7500 0.7500 0.2500  4 Ba 3.00, 4 Sc 3.00